Density functional theory data (GGA-PBE) for a geometry-optimized MnTc2Au structure.

a b c (Å): 2.8072 3.8321 5.6265
angles (deg): 90.00 90.00 90.00
Last column: magnetic moment on the atom in μB.
Sites, in units of the cell vectors:
Tc  0.0000  0.0000  0.0089  -0.32
Tc  0.5000  0.5000  0.2171  -0.19
Mn  0.5000  0.5000  0.7652  3.09
Au  0.0000  0.0000  0.5088  0.01

Properties
- E_tot: -8.131 eV/atom
- DFT formation energy: 0.1632 eV per atom
- D(E_F): 4.3 states/eV/f.u.
- Energy above the lowest structure with this stoichiometry: 0.08 eV/f.u.
- V: 15.1 Å³/atom